## KCoAg3 (GGA-PBE)

Data for an optimized crystal structure of KCoAg3.

Cell lengths 5.0133, 5.0133, 5.0133 Å; angles 90.00, 90.00, 90.00 degrees
Closest atoms and distances in Å follow each position.
Space group Pm-3m (No. 221)
Inequivalent atoms, fractional coordinates:
1 K 0.0000 0.0000 0.0000  12 Ag 3.54
2 Co 0.5000 0.5000 0.5000  6 Ag 2.51
3 Ag 0.0000 0.5000 0.5000  2 Co 2.51

Formation energy (meV/atom): 556
Fermi-level density of states (states/eV per atom): 1.747